The following is a PBE calculation of Er12Ag2Hg5 after structural relaxation, from the Alexandria database.

It has space group C2/m (No. 12), with a = 13.984 Å, b = 8.547 Å, c = 8.998 Å, α = 90.00°, β = 94.87° and γ = 90.00°. The inequivalent atoms are Er at (0.024, 0.000, 0.242), Er at (0.076, 0.500, 0.841), Er at (0.126, 0.212, 0.553), Er at (0.186, 0.293, 0.176), Ag at (0.000, 0.233, 0.000), Hg at (0.000, 0.500, 0.500), Hg at (0.168, 0.000, 0.953) and Hg at (0.249, 0.000, 0.373).

For the calculated formation energy, the calculation gives -144 meV/atom.

The following is a PBE calculation of BeSb2AsF after structural relaxation, from the Alexandria database.

It has space group P4/mmm (No. 123), with a = 5.461 Å, b = 5.461 Å, c = 3.913 Å, α = 90.00°, β = 90.00° and γ = 90.00°. The inequivalent atoms are Be at (0.000, 0.000, 0.000), Sb at (0.000, 0.500, 0.500), As at (0.500, 0.500, 0.500) and F at (0.500, 0.500, 0.000).

For the raw formation energy, the calculation gives 0.249 eV/atom.

The following is a PBE calculation of YBeNiRu2 after structural relaxation, from the Alexandria database.

It has space group P4/mmm (No. 123), with a = 4.505 Å, b = 4.505 Å, c = 4.805 Å, α = 90.00°, β = 90.00° and γ = 90.00°. The inequivalent atoms are Y at (0.000, 0.000, 0.000), Be at (0.500, 0.500, 0.000), Ni at (0.000, 0.000, 0.500) and Ru at (0.000, 0.500, 0.500).

For the calculated formation energy, the calculation gives 1043 meV/atom.

The following is a PBE calculation of SmInPt2 after structural relaxation, from the Alexandria database.

It has space group P4/mmm (No. 123), with a = 3.521 Å, b = 3.521 Å, c = 6.620 Å, α = 90.00°, β = 90.00° and γ = 90.00°. The inequivalent atoms are Sm at (0.000, 0.000, 0.000), In at (0.000, 0.000, 0.500) and Pt at (0.500, 0.500, 0.273).

For the calculated formation energy, the calculation gives -790 meV/atom.

The following is a PBE calculation of Tl7Hg3Au2 after structural relaxation, from the Alexandria database.

It has space group Cmmm (No. 65), with a = 4.905 Å, b = 29.970 Å, c = 4.746 Å, α = 90.00°, β = 90.00° and γ = 90.00°. The inequivalent atoms are Tl at (0.000, 0.000, 0.000), Tl at (0.000, 0.088, 0.500), Tl at (0.000, 0.208, 0.500), Tl at (0.000, 0.411, 0.000), Hg at (0.000, 0.290, 0.000), Hg at (0.000, 0.500, 0.500) and Au at (0.000, 0.350, 0.500).

For the calculated formation energy, the calculation gives -2 meV/atom.

The following is a PBE calculation of BaAgN after structural relaxation, from the Alexandria database.

It has space group P-1 (No. 2), with a = 4.271 Å, b = 4.884 Å, c = 8.222 Å, α = 84.32°, β = 83.89° and γ = 82.99°. The inequivalent atoms are Ba at (0.024, 0.022, 0.241), Ag at (0.500, 0.500, 0.000), Ag at (0.500, 0.500, 0.500) and N at (0.412, 0.940, 0.955).

For the raw formation energy, the calculation gives -0.098 eV/atom.

The following is a PBE calculation of RbScSiO4 after structural relaxation, from the Alexandria database.

It has space group P2_1/m (No. 11), with a = 5.346 Å, b = 5.656 Å, c = 7.609 Å, α = 90.00°, β = 108.99° and γ = 90.00°. The inequivalent atoms are Rb at (0.193, 0.250, 0.437), Sc at (0.300, 0.250, 0.969), Si at (0.244, 0.750, 0.146), O at (0.024, 0.750, 0.937), O at (0.060, 0.750, 0.280) and O at (0.455, 0.527, 0.164).

For the raw formation energy, the calculation gives -2.818 eV/atom.

The following is a PBE calculation of Be2TcIr after structural relaxation, from the Alexandria database.

It has space group Imm2 (No. 44), with a = 2.844 Å, b = 3.878 Å, c = 8.262 Å, α = 90.00°, β = 90.00° and γ = 90.00°. The inequivalent atoms are Be at (0.000, 0.000, 0.000), Be at (0.000, 0.500, 0.276), Tc at (0.000, 0.000, 0.515) and Ir at (0.000, 0.500, 0.749).

For the calculated formation energy, the calculation gives -221 meV/atom. The value obtained for the distance to the lowest polymorph of the same formula is 0.121 eV per atom.

The following is a PBE calculation of CeMn2ZnH8 after structural relaxation, from the Alexandria database.

It has space group P-3 (No. 147), with a = 4.4616 Å, b = 4.4616 Å, c = 5.4988 Å, α = 90.00°, β = 90.00° and γ = 120.00°. The inequivalent atoms are Ce at (0.0000, 0.0000, 0.0000), Mn at (0.3333, 0.6667, 0.5754), Zn at (0.0000, 0.0000, 0.5000), H at (0.0597, 0.5432, 0.3112) and H at (0.3333, 0.6667, 0.8833).

The following is a PBE calculation of BaSr after structural relaxation, from the Alexandria database.

It has space group F-43m (No. 216), with a = 9.811 Å, b = 9.811 Å, c = 9.811 Å, α = 90.00°, β = 90.00° and γ = 90.00°. The inequivalent atoms are Ba at (0.000, 0.000, 0.000) and Sr at (0.250, 0.250, 0.750).

For the calculated formation energy, the calculation gives 1011 meV/atom. The value obtained for the distance to the lowest polymorph of the same formula is 1.011 eV per atom.

The following is a PBE calculation of CaErSe2 after structural relaxation, from the Alexandria database.

It has space group R3m (No. 160, hexagonal axes), with a = 4.0230 Å, b = 4.0230 Å, c = 21.4349 Å, α = 90.00°, β = 90.00° and γ = 120.00°. The inequivalent atoms are Ca at (0.0000, 0.0000, 0.0000), Er at (0.0000, 0.0000, 0.8257), Se at (0.0000, 0.0000, 0.2407) and Se at (0.0000, 0.0000, 0.4161).

For the raw formation energy, the calculation gives -1.776 eV/atom. The value obtained for the distance to the lowest polymorph of the same formula is 0.073 eV per atom.

The following is a PBE calculation of KCd2Au2 after structural relaxation, from the Alexandria database.

It has space group P4/mbm (No. 127), with a = 8.763 Å, b = 8.763 Å, c = 2.982 Å, α = 90.00°, β = 90.00° and γ = 90.00°. The inequivalent atoms are K at (0.000, 0.000, 0.000), Cd at (0.124, 0.376, 0.000) and Au at (0.172, 0.672, 0.500).

For the calculated formation energy, the calculation gives -222 meV/atom. The value obtained for the distance to the lowest polymorph of the same formula is 0.031 eV per atom.

The following is a PBE calculation of Cs2AlI after structural relaxation, from the Alexandria database.

It has space group I-42d (No. 122), with a = 10.339 Å, b = 10.339 Å, c = 9.553 Å, α = 90.00°, β = 90.00° and γ = 90.00°. The inequivalent atoms are Cs at (0.236, 0.250, 0.125), Al at (0.000, 0.000, 0.500) and I at (0.000, 0.000, 0.000).

For the raw formation energy, the calculation gives -0.191 eV/atom. The value obtained for the distance to the lowest polymorph of the same formula is 0.030 eV per atom.

The following is a PBE calculation of TiSN2F after structural relaxation, from the Alexandria database.

It has space group P4/mmm (No. 123), with a = 3.850 Å, b = 3.850 Å, c = 3.851 Å, α = 90.00°, β = 90.00° and γ = 90.00°. The inequivalent atoms are Ti at (0.000, 0.000, 0.000), S at (0.500, 0.500, 0.000), N at (0.000, 0.500, 0.500) and F at (0.500, 0.500, 0.500).

For the raw formation energy, the calculation gives 1.432 eV/atom. The value obtained for the distance to the lowest polymorph of the same formula is 1.401 eV per atom.

The following is a PBE calculation of Zr2RhBr after structural relaxation, from the Alexandria database.

It has space group F-43m (No. 216), with a = 6.841 Å, b = 6.841 Å, c = 6.841 Å, α = 90.00°, β = 90.00° and γ = 90.00°. The inequivalent atoms are Zr at (0.000, 0.000, 0.000), Zr at (0.250, 0.250, 0.250), Rh at (0.250, 0.250, 0.750) and Br at (0.000, 0.000, 0.500).

For the raw formation energy, the calculation gives 0.337 eV/atom. The value obtained for the distance to the lowest polymorph of the same formula is 0.936 eV per atom.

The following is a PBE calculation of NdTmCd after structural relaxation, from the Alexandria database.

It has space group F-43m (No. 216), with a = 7.345 Å, b = 7.345 Å, c = 7.345 Å, α = 90.00°, β = 90.00° and γ = 90.00°. The inequivalent atoms are Nd at (0.000, 0.000, 0.000), Tm at (0.000, 0.000, 0.500) and Cd at (0.250, 0.250, 0.250).

For the calculated formation energy, the calculation gives 94 meV/atom. The value obtained for the distance to the lowest polymorph of the same formula is 0.285 eV per atom.

The following is a PBE calculation of Hf3ZnGa2 after structural relaxation, from the Alexandria database.

It has space group C2/c (No. 15), with a = 14.527 Å, b = 5.629 Å, c = 5.595 Å, α = 90.00°, β = 102.18° and γ = 90.00°. The inequivalent atoms are Hf at (0.000, 0.137, 0.250), Hf at (0.170, 0.383, 0.596), Zn at (0.000, 0.371, 0.750) and Ga at (0.162, 0.115, 0.044).

For the calculated formation energy, the calculation gives -296 meV/atom. The value obtained for the distance to the lowest polymorph of the same formula is 0.081 eV per atom.

The following is a PBE calculation of AcGe4Pt4 after structural relaxation, from the Alexandria database.

It has space group P4_2/nmc (No. 137, origin choice 2), with a = 6.425 Å, b = 6.425 Å, c = 8.476 Å, α = 90.00°, β = 90.00° and γ = 90.00°. The inequivalent atoms are Ac at (0.250, 0.750, 0.250), Ge at (0.014, 0.250, 0.126) and Pt at (0.038, 0.250, 0.426).

For the calculated formation energy, the calculation gives -664 meV/atom.

The following is a PBE calculation of NaErPb6 after structural relaxation, from the Alexandria database.

It has space group P4/mmm (No. 123), with a = 4.837 Å, b = 4.837 Å, c = 9.998 Å, α = 90.00°, β = 90.00° and γ = 90.00°. The inequivalent atoms are Na at (0.000, 0.000, 0.000), Er at (0.000, 0.000, 0.500), Pb at (0.000, 0.500, 0.251), Pb at (0.500, 0.500, 0.000) and Pb at (0.500, 0.500, 0.500).

For the calculated formation energy, the calculation gives -185 meV/atom.

The following is a PBE calculation of Ag5Ge2Se5 after structural relaxation, from the Alexandria database.

It has space group C2/m (No. 12), with a = 13.054 Å, b = 3.951 Å, c = 11.067 Å, α = 90.00°, β = 108.64° and γ = 90.00°. The inequivalent atoms are Ag at (0.000, 0.000, 0.000), Ag at (0.166, 0.000, 0.548), Ag at (0.221, 0.000, 0.829), Ge at (0.043, 0.500, 0.284), Se at (0.000, 0.500, 0.500), Se at (0.115, 0.500, 0.919) and Se at (0.184, 0.000, 0.294).

For the raw formation energy, the calculation gives -0.033 eV/atom.

no.,VASP energy (Ry per atom)
1,-0.2503
2,-0.2535
3,-0.4309
4,-0.4171
5,-0.1473
6,-0.3281
7,-0.5489
8,-0.5064
9,-0.3220
10,-0.0582
11,-0.3792
12,-0.1557
13,-0.1426
14,-0.3437
15,-0.4552
16,-0.2418
17,-0.4773
18,-0.4305
19,-0.2720
20,-0.2530